one.
The following is a PBE-GGA calculation of an optimized crystal structure of TaBeCl3, from Alexandria via LeMat-Bulk.

- Total magnetization: 3.7 μB per formula unit

Cell and atoms, written as CIF:
```
data_TaBeCl3
_cell_length_a 4.4917
_cell_length_b 4.4917
_cell_length_c 4.4917
_cell_angle_alpha 90.00
_cell_angle_beta 90.00
_cell_angle_gamma 90.00
_space_group_name_H-M_alt 'P m -3 m'
_space_group_IT_number 221
_space_group_name_Hall '-P 4 2 3'
loop_
_atom_site_label
_atom_site_fract_x
_atom_site_fract_y
_atom_site_fract_z
_atom_site_occupancy
Ta1 0.0000 0.0000 0.0000 1
Be1 0.5000 0.5000 0.5000 1
Cl1 0.0000 0.5000 0.5000 1
```



two.
The following is a PBE-GGA calculation of an optimized crystal structure of TaBeCl3, from Alexandria via LeMat-Bulk.

- Total magnetization: 0.0 μB per formula unit

Cell and atoms, written as CIF:
```
data_TaBeCl3
_cell_length_a 4.8820
_cell_length_b 4.8820
_cell_length_c 4.8820
_cell_angle_alpha 90.00
_cell_angle_beta 90.00
_cell_angle_gamma 90.00
_space_group_name_H-M_alt 'P m -3 m'
_space_group_IT_number 221
_space_group_name_Hall '-P 4 2 3'
loop_
_atom_site_label
_atom_site_fract_x
_atom_site_fract_y
_atom_site_fract_z
_atom_site_occupancy
Ta1 0.0000 0.0000 0.0000 1
Be1 0.5000 0.5000 0.5000 1
Cl1 0.0000 0.0000 0.5000 1
```



Ranked by calculated energy, most stable first: two, one.



one.
The following is a PBE-GGA calculation of an optimized crystal structure of BeTcCl, from Alexandria via LeMat-Bulk.

- Total magnetization: 1.8 μB per formula unit

Cell and atoms, written as CIF:
```
data_BeTcCl
_cell_length_a 5.7406
_cell_length_b 5.7406
_cell_length_c 5.7406
_cell_angle_alpha 90.00
_cell_angle_beta 90.00
_cell_angle_gamma 90.00
_space_group_name_H-M_alt 'F -4 3 m'
_space_group_IT_number 216
_space_group_name_Hall 'F -4 2 3'
loop_
_atom_site_label
_atom_site_fract_x
_atom_site_fract_y
_atom_site_fract_z
_atom_site_occupancy
Be1 0.0000 0.0000 0.0000 1
Tc1 0.2500 0.2500 0.2500 1
Cl1 0.0000 0.0000 0.5000 1
```



two.
The following is a PBE-GGA calculation of an optimized crystal structure of BeTcCl, from Alexandria via LeMat-Bulk.

- Total magnetization: 0.0 μB per formula unit

Cell and atoms, written as CIF:
```
data_BeTcCl
_cell_length_a 2.8537
_cell_length_b 5.0357
_cell_length_c 11.9974
_cell_angle_alpha 90.00
_cell_angle_beta 90.00
_cell_angle_gamma 90.00
_space_group_name_H-M_alt 'F m m 2'
_space_group_IT_number 42
_space_group_name_Hall 'F 2 -2'
loop_
_atom_site_label
_atom_site_fract_x
_atom_site_fract_y
_atom_site_fract_z
_atom_site_occupancy
Be1 0.0000 0.0000 0.0000 1
Tc1 0.0000 0.0000 0.3402 1
Cl1 0.0000 0.0000 0.6255 1
```



Ranked by calculated energy, most stable first: two, one.